Compound: CdSn2Hg
Source: Alexandria via LeMat-Bulk
Functional: GGA-PBE
Structure: relaxed

Cell lengths 3.2179, 3.2179, 12.1481 Å; angles 82.39, 82.39, 60.00 degrees
Fractional positions:
Sn: 0.9150 0.9150 0.2550
Sn: 0.0850 0.0850 0.7450
Hg: 0.5000 0.5000 0.5000
Cd: 0.0000 0.0000 0.0000

Summary:
ΔE to the lowest computed polymorph (meV per atom): 56
Total DFT energy (no corrections) (eV per atom): -2.210
ΔE_f (meV per atom): 96
Crystal system: trigonal


Compound: ZrBe10Ru
Source: Alexandria via LeMat-Bulk
Functional: GGA-PBE
Structure: relaxed

Cell lengths 3.4368, 4.3640, 7.6717 Å; angles 90.00, 90.00, 90.00 degrees
Fractional positions:
Be: 0.5000 0.0000 0.5000
Be: 0.5000 0.2518 0.2634
Be: 0.5000 0.7482 0.7366
Be: 0.0000 0.0000 0.6538
Be: 0.0000 0.5000 0.8115
Ru: 0.0000 0.5000 0.5000
Be: 0.0000 0.5000 0.1885
Be: 0.0000 0.0000 0.3462
Be: 0.5000 0.5000 0.0000
Zr: 0.0000 0.0000 0.0000
Be: 0.5000 0.2518 0.7366
Be: 0.5000 0.7482 0.2634

Summary:
Total DFT energy (no corrections) (eV per atom): -4.783
ΔE_f (meV per atom): -192
Crystal system: orthorhombic


Compound: SmAs2Pb
Source: Alexandria via LeMat-Bulk
Functional: GGA-PBE
Structure: relaxed

Cell lengths 4.2794, 4.2794, 7.5515 Å; angles 73.54, 73.54, 60.00 degrees
Fractional positions:
Sm: 0.6678 0.6678 0.9967
Pb: 0.4961 0.4961 0.5116
As: 0.2582 0.2582 0.2255
As: 0.0779 0.0779 0.7662

Summary:
ΔE to the lowest computed polymorph (meV per atom): 0
Total DFT energy (no corrections) (eV per atom): -4.990
ΔE_f (meV per atom): -559
Crystal system: trigonal


Compound: AlZn3Ag3
Source: Alexandria via LeMat-Bulk
Functional: GGA-PBE
Structure: relaxed

Cell lengths 4.7090, 7.4569, 7.4569 Å; angles 120.00, 90.00, 90.00 degrees
Fractional positions:
Zn: 0.7500 0.2305 0.1846
Ag: 0.2500 0.9087 0.5351
Zn: 0.2500 0.1846 0.9541
Ag: 0.7500 0.5351 0.6264
Al: 0.2500 0.3333 0.6667
Zn: 0.2500 0.7695 0.8154
Zn: 0.7500 0.9541 0.7695
Zn: 0.7500 0.8154 0.0459
Zn: 0.2500 0.0459 0.2305
Ag: 0.7500 0.0913 0.4649
Ag: 0.2500 0.6264 0.0913
Al: 0.7500 0.6667 0.3333
Ag: 0.2500 0.4649 0.3736
Ag: 0.7500 0.3736 0.9087

Summary:
ΔE to the lowest computed polymorph (meV per atom): 0
Total DFT energy (no corrections) (eV per atom): -2.337
ΔE_f (meV per atom): -35
Crystal system: hexagonal


Compound: NpPaTc
Source: Alexandria via LeMat-Bulk
Functional: GGA-PBE
Structure: relaxed

Cell lengths 3.1401, 4.6727, 4.6727 Å; angles 120.00, 90.00, 90.00 degrees
Fractional positions:
Tc: 0.6633 0.6667 0.3333
Np: 0.3106 0.3333 0.6667
Pa: 0.0261 0.0000 0.0000

Summary:
ΔE to the lowest computed polymorph (meV per atom): 9
Total DFT energy (no corrections) (eV per atom): -10.925
ΔE_f (meV per atom): 9
Crystal system: trigonal


Compound: Sc2P2O
Source: Alexandria via LeMat-Bulk
Functional: GGA-PBE
Structure: relaxed

Cell lengths 6.7943, 6.7943, 3.4726 Å; angles 90.00, 90.00, 90.00 degrees
Fractional positions:
Sc: 0.8068 0.3068 0.5000
O: 0.0000 0.0000 0.0000
Sc: 0.6932 0.8068 0.5000
O: 0.5000 0.5000 0.0000
P: 0.3889 0.8889 0.0000
P: 0.1111 0.3889 0.0000
Sc: 0.1932 0.6932 0.5000
P: 0.8889 0.6111 0.0000
Sc: 0.3068 0.1932 0.5000
P: 0.6111 0.1111 0.0000

Summary:
ΔE to the lowest computed polymorph (meV per atom): 85
Total DFT energy (no corrections) (eV per atom): -6.546
Formation energy without anion corrections (kcal/mol of atoms): -19.78
Crystal system: tetragonal


Compound: Li3In5I12
Source: Alexandria via LeMat-Bulk
Functional: GGA-PBE
Structure: relaxed

Cell lengths 16.7641, 16.7641, 16.7641 Å; angles 109.47, 109.47, 109.47 degrees
Fractional positions:
Li: 0.1250 0.2500 0.8750
I: 0.2230 0.6827 0.0885
I: 0.5885 0.7230 0.6827
I: 0.5942 0.9597 0.6827
In: 0.5000 0.5000 0.0000
Li: 0.6250 0.3750 0.7500
Li: 0.3750 0.7500 0.6250
In: 0.3750 0.2500 0.1250
I: 0.8173 0.9058 0.0403
I: 0.1345 0.7230 0.5403
In: 0.1250 0.7500 0.3750
I: 0.2770 0.4115 0.8173
Li: 0.7500 0.3750 0.1250
In: 0.7500 0.1250 0.8750
I: 0.1345 0.4115 0.0942
I: 0.3173 0.7770 0.4115
I: 0.7770 0.3173 0.9115
I: 0.0942 0.9115 0.1345
I: 0.4058 0.3655 0.5885
I: 0.9058 0.0885 0.8655
I: 0.3655 0.9597 0.7770
I: 0.6345 0.0403 0.2230
In: 0.7500 0.6250 0.3750
Li: 0.7500 0.8750 0.6250
In: 0.1250 0.3750 0.2500
I: 0.7230 0.5885 0.1827
In: 0.0000 0.0000 0.5000
I: 0.9115 0.0942 0.6345
I: 0.9058 0.8173 0.5403
I: 0.4597 0.7770 0.8655
In: 0.0000 0.0000 0.0000
Li: 0.6250 0.2500 0.3750
I: 0.0885 0.9058 0.3655
I: 0.9597 0.5942 0.1827
Li: 0.3750 0.6250 0.2500
I: 0.5942 0.6345 0.4115
I: 0.8655 0.5885 0.9058
I: 0.9115 0.8173 0.7770
In: 0.5000 0.5000 0.5000
In: 0.3750 0.1250 0.7500
I: 0.5885 0.8655 0.4058
I: 0.8655 0.2770 0.4597
In: 0.8750 0.2500 0.6250
I: 0.6827 0.4597 0.5942
I: 0.4597 0.6827 0.0942
In: 0.2500 0.3750 0.6250
I: 0.4058 0.0403 0.3173
Li: 0.8750 0.1250 0.2500
I: 0.2230 0.5403 0.6345
I: 0.0403 0.6345 0.7230
I: 0.3655 0.4058 0.0885
I: 0.3173 0.5403 0.4058
I: 0.9597 0.3655 0.2770
I: 0.4115 0.2770 0.3173
I: 0.0885 0.1827 0.2230
I: 0.6827 0.2230 0.5885
In: 0.0000 0.5000 0.0000
In: 0.5000 0.0000 0.0000
In: 0.6250 0.8750 0.2500
I: 0.5403 0.3173 0.9058
I: 0.0942 0.1827 0.4597
I: 0.0403 0.4058 0.8173
Li: 0.1250 0.8750 0.7500
I: 0.4115 0.1345 0.5942
I: 0.5403 0.2230 0.1345
In: 0.0000 0.5000 0.5000
In: 0.6250 0.7500 0.8750
I: 0.2770 0.8655 0.9597
I: 0.7230 0.1345 0.0403
I: 0.7770 0.4597 0.3655
In: 0.8750 0.6250 0.7500
Li: 0.2500 0.6250 0.8750
In: 0.2500 0.8750 0.1250
Li: 0.8750 0.7500 0.1250
I: 0.6345 0.5942 0.9115
I: 0.8173 0.9115 0.2770
I: 0.1827 0.0885 0.7230
I: 0.1827 0.0942 0.9597
In: 0.5000 0.0000 0.5000
Li: 0.2500 0.1250 0.3750

Summary:
Total DFT energy (no corrections) (eV per atom): -2.417
Formation energy without anion corrections (kcal/mol of atoms): -11.89
Crystal system: cubic


Compound: ZnAg2RuN
Source: Alexandria via LeMat-Bulk
Functional: GGA-PBE
Structure: relaxed

Cell lengths 4.5584, 3.8032, 4.5584 Å; angles 90.00, 90.00, 90.00 degrees
Fractional positions:
Ag: 0.5000 0.0000 0.0000
N: 0.0000 0.0000 0.0000
Ag: 0.0000 0.0000 0.5000
Zn: 0.5000 0.5000 0.5000
Ru: 0.0000 0.5000 0.0000

Summary:
Total DFT energy (no corrections) (eV per atom): -4.398
Formation energy without anion corrections (kcal/mol of atoms): 11.94
Crystal system: tetragonal


Compound: BaMgMn2Mo
Source: Alexandria via LeMat-Bulk
Functional: GGA-PBE
Structure: relaxed

Cell lengths 5.0981, 6.0427, 5.0981 Å; angles 90.00, 90.00, 90.00 degrees
Fractional positions:
Mn: 0.0000 0.0000 0.5000
Mg: 0.0000 0.0000 0.0000
Mo: 0.5000 0.5000 0.5000
Mn: 0.5000 0.0000 0.0000
Ba: 0.0000 0.5000 0.0000

Summary:
Total DFT energy (no corrections) (eV per atom): -4.729
ΔE_f (meV per atom): 1809
Crystal system: tetragonal


Compound: SiPb2Se
Source: Alexandria via LeMat-Bulk
Functional: GGA-PBE
Structure: relaxed

Cell lengths 6.4459, 6.4459, 6.4459 Å; angles 140.94, 140.94, 56.43 degrees
Fractional positions:
Pb: 0.2500 0.7500 0.5000
Se: 0.5000 0.5000 0.0000
Pb: 0.0000 0.0000 0.0000
Si: 0.7500 0.2500 0.5000

Summary:
ΔE to the lowest computed polymorph (meV per atom): 199
Total DFT energy (no corrections) (eV per atom): -3.831
Formation energy without anion corrections (kcal/mol of atoms): 5.76
Crystal system: tetragonal


Compound: LaYCuOs2
Source: Alexandria via LeMat-Bulk
Functional: GGA-PBE
Structure: relaxed

Cell lengths 4.8228, 4.7516, 4.8228 Å; angles 90.00, 90.00, 90.00 degrees
Fractional positions:
Os: 0.5000 0.0000 0.0000
Os: 0.0000 0.0000 0.5000
Cu: 0.0000 0.0000 0.0000
La: 0.0000 0.5000 0.0000
Y: 0.5000 0.5000 0.5000

Summary:
Total DFT energy (no corrections) (eV per atom): -6.703
ΔE_f (meV per atom): 887
Crystal system: tetragonal


Compound: CsMg4SbAs2
Source: Alexandria via LeMat-Bulk
Functional: GGA-PBE
Structure: relaxed

Cell lengths 4.5906, 4.5906, 11.2324 Å; angles 90.00, 90.00, 90.00 degrees
Fractional positions:
Sb: 0.0000 0.0000 0.0000
Mg: 0.5000 0.0000 0.1666
Mg: 0.0000 0.5000 0.8334
Mg: 0.5000 0.0000 0.8334
Mg: 0.0000 0.5000 0.1666
As: 0.5000 0.5000 0.2869
Cs: 0.0000 0.0000 0.5000
As: 0.5000 0.5000 0.7131

Summary:
Total DFT energy (no corrections) (eV per atom): -3.177
Formation energy without anion corrections (kcal/mol of atoms): -13.72
Crystal system: tetragonal


Compound: MgSc4Al
Source: Alexandria via LeMat-Bulk
Functional: GGA-PBE
Structure: relaxed

Cell lengths 4.7049, 4.6784, 8.7962 Å; angles 74.46, 74.49, 59.81 degrees
Fractional positions:
Sc: 0.3718 0.3708 0.8855
Al: 0.0000 0.0000 0.0000
Sc: 0.8873 0.8838 0.3417
Sc: 0.6282 0.6292 0.1145
Sc: 0.1127 0.1162 0.6583
Mg: 0.5000 0.5000 0.5000

Summary:
ΔE to the lowest computed polymorph (meV per atom): 224
Total DFT energy (no corrections) (eV per atom): -4.842
ΔE_f (meV per atom): 269
Crystal system: monoclinic


Compound: KYCl2
Source: Alexandria via LeMat-Bulk
Functional: GGA-PBE
Structure: relaxed

Cell lengths 3.5235, 3.8664, 8.1785 Å; angles 89.98, 90.00, 90.00 degrees
Fractional positions:
Y: 0.5000 0.7500 0.7500
Cl: 0.0000 0.7495 0.4773
K: 0.5000 0.2500 0.2500
Cl: 0.0000 0.7505 0.0227

Summary:
ΔE to the lowest computed polymorph (meV per atom): 0
Total DFT energy (no corrections) (eV per atom): -4.289
Formation energy without anion corrections (kcal/mol of atoms): -34.03
Crystal system: orthorhombic


Compound: ReP4Au
Source: Alexandria via LeMat-Bulk
Functional: GGA-PBE
Structure: relaxed

Cell lengths 5.0134, 5.0134, 5.0134 Å; angles 60.00, 60.00, 60.00 degrees
Fractional positions:
P: 0.8704 0.3765 0.3765
Re: 0.7500 0.7500 0.7500
P: 0.3765 0.3765 0.8704
P: 0.3765 0.8704 0.3765
P: 0.3765 0.3765 0.3765
Au: 0.0000 0.0000 0.0000

Summary:
Total DFT energy (no corrections) (eV per atom): -5.222
ΔE_f (meV per atom): 1006
Crystal system: cubic


Compound: GdYInCo
Source: Alexandria via LeMat-Bulk
Functional: GGA-PBE
Structure: relaxed

Cell lengths 5.1173, 5.1173, 5.1173 Å; angles 60.00, 60.00, 60.00 degrees
Fractional positions:
Co: 0.7500 0.7500 0.7500
In: 0.2500 0.2500 0.2500
Gd: 0.5000 0.5000 0.5000
Y: 0.0000 0.0000 0.0000

Summary:
Total DFT energy (no corrections) (eV per atom): -7.782
ΔE_f (meV per atom): -184
Crystal system: cubic


Compound: NaInPb2Cl8
Source: Alexandria via LeMat-Bulk
Functional: GGA-PBE
Structure: relaxed

Cell lengths 6.6765, 6.4135, 8.4739 Å; angles 90.00, 90.00, 89.47 degrees
Fractional positions:
Cl: 0.3340 0.2709 0.5000
Cl: 0.8518 0.2214 0.7759
In: 0.0000 0.0000 0.0000
Cl: 0.6849 0.7713 0.0000
Cl: 0.3151 0.2287 0.0000
Cl: 0.8518 0.2214 0.2241
Cl: 0.6660 0.7291 0.5000
Pb: 0.5000 0.5000 0.2502
Na: 0.0000 0.0000 0.5000
Cl: 0.1482 0.7786 0.2241
Pb: 0.5000 0.5000 0.7498
Cl: 0.1482 0.7786 0.7759

Summary:
Total DFT energy (no corrections) (eV per atom): -3.416
Formation energy without anion corrections (kcal/mol of atoms): -28.34
Crystal system: monoclinic


Compound: AlCo2Pb
Source: Alexandria via LeMat-Bulk
Functional: GGA-PBE
Structure: relaxed

Cell lengths 5.0179, 3.9972, 13.2229 Å; angles 90.00, 101.01, 90.00 degrees
Fractional positions:
Al: 0.0077 0.0000 0.8106
Co: 0.4987 0.0000 0.7766
Co: 0.4987 0.5000 0.2766
Pb: 0.6655 0.5000 0.0942
Al: 0.5915 0.5000 0.8739
Co: 0.8478 0.5000 0.4699
Pb: 0.2119 0.0000 0.1550
Co: 0.8478 0.0000 0.9699
Pb: 0.6655 0.0000 0.5942
Co: 0.3685 0.0000 0.9555
Co: 0.1168 0.5000 0.9524
Co: 0.1168 0.0000 0.4524
Al: 0.0077 0.5000 0.3106
Al: 0.5915 0.0000 0.3739
Co: 0.3685 0.5000 0.4555
Pb: 0.2119 0.5000 0.6550

Summary:
ΔE to the lowest computed polymorph (meV per atom): 102
Total DFT energy (no corrections) (eV per atom): -5.351
ΔE_f (meV per atom): 65
Crystal system: monoclinic


Compound: TlCu4Br7
Source: Alexandria via LeMat-Bulk
Functional: GGA-PBE
Structure: relaxed

Cell lengths 6.5545, 6.7368, 16.2505 Å; angles 90.00, 90.00, 90.00 degrees
Fractional positions:
Cu: 0.0806 0.8281 0.7472
Br: 0.9884 0.1593 0.5000
Br: 0.9548 0.1717 0.7448
Cu: 0.0806 0.8281 0.2527
Cu: 0.5898 0.6591 0.8774
Br: 0.9801 0.6779 0.6201
Br: 0.9616 0.6910 0.1245
Br: 0.4801 0.3221 0.1201
Cu: 0.0898 0.3409 0.6226
Br: 0.9548 0.1717 0.2552
Cu: 0.5806 0.1719 0.2472
Cu: 0.5806 0.1719 0.7528
Br: 0.9801 0.6779 0.3799
Tl: 0.5325 0.9359 0.5000
Br: 0.4548 0.8283 0.2448
Br: 0.9616 0.6910 0.8755
Cu: 0.0898 0.3409 0.3774
Br: 0.4616 0.3090 0.3755
Br: 0.4616 0.3090 0.6245
Br: 0.4548 0.8283 0.7552
Br: 0.4801 0.3221 0.8799
Cu: 0.5898 0.6591 0.1226
Tl: 0.0325 0.0641 0.0000
Br: 0.4884 0.8407 0.0000

Summary:
Total DFT energy (no corrections) (eV per atom): -2.940
Formation energy without anion corrections (kcal/mol of atoms): -9.26
Crystal system: orthorhombic


Compound: Tl2Ag2TeS4
Source: Alexandria via LeMat-Bulk
Functional: GGA-PBE
Structure: relaxed

Cell lengths 4.0696, 7.9721, 7.6596 Å; angles 112.62, 90.00, 104.79 degrees
Fractional positions:
S: 0.4964 0.9927 0.2356
S: 0.1923 0.3847 0.1979
S: 0.5036 0.0073 0.7644
Te: 0.0000 0.0000 0.0000
Tl: 0.1433 0.2866 0.5659
S: 0.8077 0.6153 0.8021
Ag: 0.6812 0.3624 0.9663
Ag: 0.3188 0.6376 0.0337
Tl: 0.8567 0.7134 0.4341

Summary:
Total DFT energy (no corrections) (eV per atom): -3.444
Formation energy without anion corrections (kcal/mol of atoms): -2.33
Crystal system: monoclinic